Record 1
A plane-wave DFT calculation with PBE-GGA was carried out for RbPrSe2O6 after structural relaxation.

Cell and atoms, written as extended XYZ:
```
10
Lattice="5.882 0.000 0.000 2.941 5.094 0.000 2.941 1.698 6.500" Properties=species:S:1:pos:R:3 pbc="T T T"
O 4.485 2.031 1.854
O 6.366 1.503 4.646
O 7.280 4.762 4.646
O 4.001 3.924 4.646
O 5.399 5.289 1.854
O 7.764 2.868 1.854
Se 2.941 1.698 1.159
Se 8.823 5.094 5.341
Pr 5.882 3.396 3.250
Rb 0.000 0.000 0.000
```

Properties
symmetry	R-3, No. 148
theoretical density	4095	kg/m3
N(E_F)	0.000	states/eV per atom
calculated total energy	-59.5	eV/cell
formation energy without anion corrections	-164.56	kJ per mole of atoms

***

Record 2
A plane-wave DFT calculation with PBE-GGA was carried out for Rb2PrSe2O6 after structural relaxation.

Cell and atoms, written as extended XYZ:
```
11
Lattice="-0.432 4.091 4.874 -4.058 -4.099 -1.092 6.040 -3.273 3.282" Properties=species:S:1:pos:R:3 pbc="T T T"
Se 0.778 -1.072 0.968
Se 0.772 -2.209 6.096
Rb 2.579 -3.990 3.577
Rb -1.029 0.710 3.486
O 4.016 0.610 6.168
O -2.689 -1.782 3.408
O 0.584 -2.401 2.067
O 4.239 -1.498 3.656
O -2.466 -3.890 0.896
O 0.966 -0.879 4.997
Pr 2.804 0.409 4.078
```

Properties
symmetry	C2/m, No. 12
theoretical density	4265	kg/m3
N(E_F)	0.263	states/eV per atom
calculated total energy	-60.3	eV/cell
formation energy without anion corrections	-148.01	kJ per mole of atoms

***

Record 3
A plane-wave DFT calculation with PBE-GGA was carried out for RbPrSi2O6 after structural relaxation.

Cell and atoms, written as extended XYZ:
```
20
Lattice="7.388 0.469 0.831 -0.439 7.390 0.831 -1.183 -1.338 5.165" Properties=species:S:1:pos:R:3 pbc="T T T"
O 4.110 3.490 4.409
O 4.531 5.260 6.372
O 5.258 5.810 3.790
O 0.509 0.711 3.037
O 4.332 0.427 1.907
O 1.656 3.032 2.417
O -0.698 3.683 4.489
O 1.434 6.094 4.920
O 1.235 1.261 0.454
O 6.464 2.839 2.338
O 2.214 1.346 5.000
O 3.552 5.175 1.827
Rb 0.585 5.889 2.122
Rb 5.181 0.632 4.704
Pr 1.620 3.782 4.704
Pr 4.146 2.739 2.122
Si 4.522 6.375 2.378
Si 1.244 0.146 4.448
Si 0.584 1.922 1.866
Si 5.182 4.599 4.961
```

Properties
symmetry	C2/c, No. 15
theoretical density	4211	kg/m3
N(E_F)	0.000	states/eV per atom
calculated total energy	-149.1	eV/cell
formation energy without anion corrections	-271.93	kJ per mole of atoms

***

Record 4
A plane-wave DFT calculation with PBE-GGA was carried out for Rb2PrSiO4 after structural relaxation.

Cell and atoms, written as extended XYZ:
```
16
Lattice="-1.899 -4.005 3.863 3.098 -6.305 -0.538 7.668 1.555 9.856" Properties=species:S:1:pos:R:3 pbc="T T T"
O 7.070 -0.654 10.166
O 8.250 -7.047 11.753
O 4.557 -3.169 7.246
O 4.012 -2.257 4.764
O -0.054 -3.121 2.792
O 4.576 -7.085 8.984
O 4.589 -4.996 5.367
O 2.468 -6.686 1.651
Rb 1.264 -2.699 6.772
Rb 0.795 -6.684 4.648
Rb 7.122 -4.072 10.465
Rb 4.505 0.249 6.947
Si -0.950 -2.002 1.932
Si 4.908 -3.376 5.625
Pr 0.000 0.000 0.000
Pr 3.959 -5.378 7.556
```

Properties
symmetry	Fddd, No. 70
theoretical density	2912	kg/m3
N(E_F)	0.239	states/eV per atom
calculated total energy	-97.5	eV/cell
formation energy without anion corrections	-202.15	kJ per mole of atoms

***

Record 5
A plane-wave DFT calculation with PBE-GGA was carried out for Rb3Pr3SiO8 after structural relaxation.

Cell and atoms, written as extended XYZ:
```
15
Lattice="6.985 0.000 0.000 -3.492 6.050 -0.024 0.000 -4.008 6.653" Properties=species:S:1:pos:R:3 pbc="T T T"
Pr 1.746 1.021 3.315
Pr -1.746 1.021 3.315
Pr 3.492 -2.004 3.326
O 3.492 0.017 4.540
O 5.577 -1.196 2.290
O 0.000 -0.373 4.353
O 0.000 2.024 2.089
O 1.408 -1.196 2.290
O 3.492 2.415 2.276
O 2.085 3.237 4.339
O -2.085 3.237 4.339
Rb 0.000 0.000 0.000
Rb -1.746 3.025 -0.012
Rb 1.746 3.025 -0.012
Si 0.000 -2.004 3.326
```

Properties
symmetry	R-3m, No. 166
theoretical density	4945	kg/m3
calculated total energy	-98.2	eV/cell
formation energy without anion corrections	-230.83	kJ per mole of atoms

***

Record 6
A plane-wave DFT calculation with PBE-GGA was carried out for Rb2PrSmO4 after structural relaxation.

Cell and atoms, written as extended XYZ:
```
8
Lattice="3.659 0.000 0.000 0.000 6.929 -0.355 0.000 2.231 5.931" Properties=species:S:1:pos:R:3 pbc="T T T"
O 1.830 3.844 4.228
O 1.830 5.317 1.348
O 0.000 6.448 4.375
O 3.659 2.713 1.202
Rb 0.000 2.231 5.931
Rb 1.830 1.116 2.966
Sm 1.830 3.465 -0.177
Pr 0.000 4.580 2.788
```

Properties
symmetry	P2/m, No. 10
theoretical density	5700	kg/m3
N(E_F)	0.000	states/eV per atom
calculated total energy	-51.8	eV/cell
formation energy without anion corrections	-247.29	kJ per mole of atoms

***

Record 7
A plane-wave DFT calculation with PBE-GGA was carried out for Rb4Pr3SnO8 after structural relaxation.

Cell and atoms, written as extended XYZ:
```
16
Lattice="7.318 0.000 0.000 0.000 7.842 0.359 -3.659 -3.650 5.181" Properties=species:S:1:pos:R:3 pbc="T T T"
O -1.875 1.847 5.210
O 3.659 3.689 2.600
O 3.659 0.475 2.985
O 0.000 3.717 2.555
O 0.000 0.503 2.939
O 5.534 2.346 0.329
O 1.875 1.847 5.210
O 1.784 2.346 0.329
Rb 3.659 0.000 0.000
Rb 1.830 -1.825 2.590
Rb -1.830 -1.825 2.590
Rb 0.000 0.000 0.000
Pr 3.659 3.921 0.179
Pr -1.830 2.096 2.770
Pr 1.830 2.096 2.770
Sn 0.000 3.921 0.179
```

Properties
symmetry	R-3m, No. 166
theoretical density	5472	kg/m3
N(E_F)	0.112	states/eV per atom
calculated total energy	-96.9	eV/cell
formation energy without anion corrections	-211.42	kJ per mole of atoms

***

Record 8
A plane-wave DFT calculation with PBE-GGA was carried out for RbPrSnO3 after structural relaxation.

Cell and atoms, written as extended XYZ:
```
12
Lattice="-1.312 3.216 -1.155 -2.769 -3.358 -6.203 -8.755 -2.334 3.444" Properties=species:S:1:pos:R:3 pbc="T T T"
Pr -3.161 -1.481 -3.432
Pr -9.676 -0.996 -0.482
O -7.958 -1.839 1.019
O -2.981 0.881 -2.859
O -4.879 -0.638 -4.932
O -7.494 -0.502 -1.585
O -5.342 -1.974 -2.328
O -9.855 -3.358 -1.055
Sn -6.722 -0.950 -3.708
Sn -6.114 -1.527 -0.206
Rb -10.370 -2.494 -3.864
Rb -2.466 0.018 -0.049
```

Properties
symmetry	P2_1/m, No. 11
theoretical density	4908	kg/m3
N(E_F)	0.000	states/eV per atom
calculated total energy	-74.8	eV/cell
formation energy without anion corrections	-205.05	kJ per mole of atoms